AcCdAsPt: relaxed, PBE-GGA.

Cell: 7.273 7.273 7.273 Å, 90.00 90.00 90.00°
Space group F-43m (No. 216)
Unique sites:
1 Ac 0.000 0.000 0.000
2 Cd 0.000 0.000 0.500
3 As 0.250 0.250 0.750
4 Pt 0.250 0.250 0.250

Output
The value obtained for the formation energy is -593.6 meV/atom. As for the energy: -4.522 eV per atom. The magnetization comes out at 0.000 μB/atom.